Density functional theory data (PBE) for an optimized crystal structure of PuZr6Sc.

The structure in CIF format:
```
data_PuZr6Sc
_chemical_formula_sum 'Pu1 Zr6 Sc1'
_cell_length_a 5.2048
_cell_length_b 6.4677
_cell_length_c 6.4677
_cell_angle_alpha 120.01
_cell_angle_beta 90.00
_cell_angle_gamma 90.00
_symmetry_space_group_name_H-M 'P 1'
_symmetry_Int_Tables_number 1
loop_
_symmetry_equiv_pos_as_xyz
'x,y,z'
loop_
_atom_site_label
_atom_site_type_symbol
_atom_site_fract_x
_atom_site_fract_y
_atom_site_fract_z
Pu1 Pu 0.5000 0.1688 0.8312
Zr1 Zr 0.5000 0.1697 0.3326
Zr2 Zr 0.5000 0.6674 0.8303
Zr3 Zr 0.0000 0.3351 0.1772
Zr4 Zr 0.0000 0.8228 0.6649
Zr5 Zr 0.0000 0.3335 0.6665
Zr6 Zr 0.0000 0.8331 0.1669
Sc1 Sc 0.5000 0.6695 0.3305
```

Properties
E above lowest polymorph: 0 meV per atom
SG: No. 38
density: 7.37 g/cm³
formation energy: 33 meV/atom
total moment: 5.9 μB/f.u.